[1]
LiTiIr2 | PBE-GGA | optimized geometry

Values from the calculation:
Offset from the most stable computed form: 2 meV per atom
ρ: 13.32 g cm⁻³
DFT formation energy: -62 kJ per mole of atoms
Volume: 13.691 Å³/atom
Raw total energy: -30.094 eV/cell

Unit cell a=3.059 b=3.059 c=5.851 alpha=90.00 beta=90.00 gamma=90.00
Space group P4/mmm (No. 123)
Asymmetric unit:
1 Li 0.000 0.000 0.000 (multiplicity 1)
2 Ti 0.000 0.000 0.500 (multiplicity 1)
3 Ir 0.500 0.500 0.243 (multiplicity 2)

[2]
LiTi5Ir6 | PBE-GGA | optimized geometry

Values from the calculation:
ρ: 13.21 g cm⁻³
DFT formation energy: -77 kJ per mole of atoms
Volume: 14.656 Å³/atom
Raw total energy: -208.284 eV/cell

Unit cell a=4.238 b=6.569 c=12.636 alpha=90.00 beta=90.00 gamma=90.00
Space group Immm (No. 71)
Asymmetric unit:
1 Li 0.000 0.000 0.000 (multiplicity 2)
2 Ti 0.000 0.000 0.338 (multiplicity 4)
3 Ti 0.000 0.500 0.000 (multiplicity 2)
4 Ti 0.000 0.500 0.335 (multiplicity 4)
5 Ir 0.000 0.245 0.167 (multiplicity 8)
6 Ir 0.000 0.258 0.500 (multiplicity 4)

What are the Fermi-level density of states values for these records? In order: 1.4 13.0 states/eV/cell.